(1)
The following is a DFT calculation (PBE-GGA) of an optimized crystal structure of Tb5Te9.

Cell and atoms, written as POSCAR:
```
Tb5Te9
1.0
-2.0964 9.4171 -0.6604
-5.4565 -1.7608 -7.7871
-14.3721 -2.4544 10.6256
Te Tb
36 20
Direct
0.2023 0.1002 0.9369 Te
0.5000 0.0000 0.5517 Te
0.5000 0.0000 0.0695 Te
0.0000 0.5000 0.9305 Te
0.7994 0.9026 0.4348 Te
0.7204 0.1356 0.2493 Te
0.7977 0.8998 0.9369 Te
0.6240 0.0864 0.7404 Te
0.6163 0.7911 0.2494 Te
0.8998 0.2023 0.0631 Te
0.2796 0.8644 0.2493 Te
0.6055 0.3013 0.4331 Te
0.4017 0.7019 0.9365 Te
0.1002 0.7977 0.0631 Te
0.0974 0.7994 0.5652 Te
0.5983 0.2981 0.9365 Te
0.7911 0.3837 0.7506 Te
0.1356 0.2796 0.7507 Te
0.5000 0.5000 0.2490 Te
0.7019 0.5983 0.0635 Te
0.0000 0.0000 0.2473 Te
0.2006 0.0974 0.4348 Te
0.8644 0.7204 0.7507 Te
0.0864 0.3760 0.2596 Te
0.3760 0.9136 0.7404 Te
0.2089 0.6163 0.7506 Te
0.9026 0.2006 0.5652 Te
0.0000 0.0000 0.7527 Te
0.3013 0.3945 0.5669 Te
0.3837 0.2089 0.2494 Te
0.9136 0.6240 0.2596 Te
0.5000 0.5000 0.7510 Te
0.0000 0.5000 0.4483 Te
0.2981 0.4017 0.0635 Te
0.3945 0.6987 0.4331 Te
0.6987 0.6055 0.5669 Te
0.0903 0.7963 0.3850 Tb
0.7963 0.9097 0.6150 Tb
0.4049 0.6991 0.1161 Tb
0.3021 0.3984 0.3884 Tb
0.9097 0.2037 0.3850 Tb
0.6991 0.5951 0.8839 Tb
0.5000 0.0000 0.3723 Tb
0.1980 0.0972 0.1185 Tb
0.6016 0.3021 0.6116 Tb
0.8020 0.9028 0.1185 Tb
0.0000 0.5000 0.6277 Tb
0.5951 0.3009 0.1161 Tb
0.0972 0.8020 0.8815 Tb
0.5000 0.0000 0.8946 Tb
0.3984 0.6979 0.6116 Tb
0.6979 0.6016 0.3884 Tb
0.2037 0.0903 0.6150 Tb
0.9028 0.1980 0.8815 Tb
0.3009 0.4049 0.8839 Tb
0.0000 0.5000 0.1054 Tb
```

Formation energy from raw total energies ... -1.28 eV/atom
Mass density ... 7.6 g/cm3
Total magnetic moment ... 0.00 μB/cell
Calculated total energy ... -277.4 eV per cell


(2)
The following is a DFT calculation (PBE-GGA) of an optimized crystal structure of NbFeGeH.

Cell and atoms, written as POSCAR:
```
NbFeGeH
1.0
4.8915 0.0000 -0.0182
0.0000 2.8570 0.0000
-3.8503 0.0000 6.8370
Ge H Fe Nb
2 2 2 2
Direct
0.8227 0.0000 0.0960 Ge
0.8227 0.5000 0.5960 Ge
0.3896 0.5000 0.1619 H
0.3896 0.0000 0.6619 H
0.5786 0.0000 0.3035 Fe
0.5786 0.5000 0.8035 Fe
0.1967 0.0000 0.9321 Nb
0.1967 0.5000 0.4321 Nb
```

Excess energy over the best structure of this formula in the dataset ... 18.3 kJ per mole of atoms
Mass density ... 7.7 g/cm3
Total magnetic moment ... 1.47 μB/cell
Calculated total energy ... -53.2 eV per cell


(3)
The following is a DFT calculation (PBE-GGA) of an optimized crystal structure of PrNd3Ga3.

Cell and atoms, written as POSCAR:
```
PrNd3Ga3
1.0
4.8292 0.0000 0.0000
0.0000 9.5950 0.0000
0.0000 -4.7975 8.3095
Ga Pr Nd
6 2 6
Direct
0.2500 0.3966 0.9428 Ga
0.2500 0.5462 0.6034 Ga
0.7500 0.4538 0.3966 Ga
0.7500 0.6034 0.0572 Ga
0.2500 0.0572 0.4538 Ga
0.7500 0.9428 0.5462 Ga
0.2500 0.6667 0.3333 Pr
0.7500 0.3333 0.6667 Pr
0.2500 0.2390 0.2633 Nd
0.7500 0.9757 0.2390 Nd
0.2500 0.0243 0.7610 Nd
0.7500 0.2633 0.0243 Nd
0.7500 0.7610 0.7367 Nd
0.2500 0.7367 0.9757 Nd
```

Mass density ... 6.8 g/cm3
Total magnetic moment ... 0.00 μB/cell
Formation energy ... -0.41 eV/atom
Calculated total energy ... -62.0 eV per cell


(4)
The following is a DFT calculation (PBE-GGA) of an optimized crystal structure of Tb4SeI5.

Cell and atoms, written as POSCAR:
```
Tb4SeI5
1.0
-1.7307 3.7013 0.6554
-7.9518 -3.8206 0.5783
4.0896 -1.9333 8.6539
I Tb Se
5 4 1
Direct
0.5000 0.5000 0.0000 I
0.8370 0.6677 0.6740 I
0.1737 0.8186 0.3474 I
0.1630 0.3323 0.3260 I
0.8263 0.1814 0.6526 I
0.6463 0.0649 0.2926 Tb
0.9971 0.2090 0.9942 Tb
0.3537 0.9351 0.7074 Tb
0.0029 0.7910 0.0058 Tb
0.5000 0.0000 0.0000 Se
```

Formation energy from raw total energies ... -1.28 eV/atom
Mass density ... 6.6 g/cm3
Total magnetic moment ... 0.00 μB/cell
Calculated total energy ... -42.5 eV per cell


(5)
The following is a DFT calculation (PBE-GGA) of an optimized crystal structure of Y2Be3CuNi12.

Cell and atoms, written as POSCAR:
```
Y2Be3CuNi12
1.0
-4.0754 0.6220 4.5659
1.4084 -5.3915 2.6060
4.0709 2.4360 3.9163
Be Ni Cu Y
3 12 1 2
Direct
0.5000 0.0000 0.0000 Be
0.0000 0.5000 0.0000 Be
0.0000 0.0000 0.5000 Be
0.8146 0.8146 0.2970 Ni
0.8655 0.4053 0.4053 Ni
0.1345 0.5947 0.5947 Ni
0.1854 0.1854 0.7030 Ni
0.7030 0.1854 0.1854 Ni
0.2970 0.8146 0.8146 Ni
0.5947 0.1345 0.5947 Ni
0.4053 0.8655 0.4053 Ni
0.4053 0.4053 0.8655 Ni
0.8146 0.2970 0.8146 Ni
0.5947 0.5947 0.1345 Ni
0.1854 0.7030 0.1854 Ni
0.0000 0.0000 0.0000 Cu
0.7090 0.7090 0.7090 Y
0.2910 0.2910 0.2910 Y
```

Mass density ... 7.0 g/cm3
Total magnetic moment ... 0.00 μB/cell
Formation energy ... 0.03 eV/atom
Calculated total energy ... -97.0 eV per cell


(6)
The following is a DFT calculation (PBE-GGA) of an optimized crystal structure of NaYEr4S8.

Cell and atoms, written as POSCAR:
```
NaYEr4S8
1.0
-3.1441 -4.9034 -5.5289
1.0710 -7.9368 0.5971
-6.2144 -4.7572 1.9203
S Y Er Na
8 1 4 1
Direct
0.7829 0.2405 0.7361 S
0.2268 0.7567 0.2599 S
0.2405 0.7829 0.7361 S
0.7567 0.7567 0.2599 S
0.2405 0.2405 0.7361 S
0.2385 0.2385 0.2844 S
0.7567 0.2268 0.2599 S
0.7581 0.7581 0.7258 S
0.0045 0.0045 0.9865 Y
0.4863 0.0046 0.5046 Er
0.0046 0.4863 0.5046 Er
0.6253 0.6253 0.1240 Er
0.0046 0.0046 0.5046 Er
0.3742 0.3742 0.8775 Na
```

Formation energy from raw total energies ... -1.96 eV/atom
Mass density ... 4.7 g/cm3
Total magnetic moment ... 0.00 μB/cell
Calculated total energy ... -86.5 eV per cell


(7)
The following is a DFT calculation (PBE-GGA) of an optimized crystal structure of TaSeBr2.

Cell and atoms, written as POSCAR:
```
TaSeBr2
1.0
3.5426 -0.0001 -0.0001
-0.0003 4.9693 -0.0007
-1.7682 -2.4844 6.8457
Br Ta Se
2 1 1
Direct
0.8570 0.8585 0.7135 Br
0.1430 0.1450 0.2864 Br
0.4999 0.0238 0.0000 Ta
0.5001 0.5087 0.0000 Se
```

Excess energy over the best structure of this formula in the dataset ... 4.0 kJ per mole of atoms
Formation energy from raw total energies ... -0.63 eV/atom
Mass density ... 5.8 g/cm3
Total magnetic moment ... 0.00 μB/cell
Calculated total energy ... -21.2 eV per cell


(8)
The following is a DFT calculation (PBE-GGA) of an optimized crystal structure of KYAl2Se.

Cell and atoms, written as POSCAR:
```
KYAl2Se
1.0
-1.3779 1.5667 5.0308
-5.6137 -1.1758 -1.1713
0.6970 -5.1001 1.7792
K Al Se Y
1 2 1 1
Direct
0.0000 0.0000 0.0000 K
0.5000 0.0000 0.0000 Al
0.0000 0.0000 0.5000 Al
0.5000 0.5000 0.5000 Se
0.0000 0.5000 0.0000 Y
```

Formation energy from raw total energies ... 1.38 eV/atom
Mass density ... 2.5 g/cm3
Total magnetic moment ... 1.45 μB/cell
Calculated total energy ... -11.7 eV per cell


(9)
The following is a DFT calculation (PBE-GGA) of an optimized crystal structure of BaSiPt2.

Cell and atoms, written as POSCAR:
```
BaSiPt2
1.0
4.2809 -0.0149 0.0111
2.1515 3.7010 0.0111
2.1269 1.2188 5.8493
Pt Ba Si
2 1 1
Direct
0.9492 0.9492 0.1524 Pt
0.5508 0.5508 0.3476 Pt
0.7500 0.7500 0.7500 Ba
0.2500 0.2500 0.2500 Si
```

Formation energy from raw total energies ... -0.80 eV/atom
Mass density ... 9.9 g/cm3
Total magnetic moment ... 0.00 μB/cell
Calculated total energy ... -22.6 eV per cell


(10)
The following is a DFT calculation (PBE-GGA) of an optimized crystal structure of RbHg2.

Cell and atoms, written as POSCAR:
```
RbHg2
1.0
-3.0175 0.0772 5.8838
0.8630 -5.0138 4.2246
3.5343 0.8959 5.5169
Hg Rb
4 2
Direct
0.6250 0.1250 0.6250 Hg
0.1250 0.6250 0.6250 Hg
0.6250 0.6250 0.1250 Hg
0.6250 0.6250 0.6250 Hg
0.2500 0.2500 0.2500 Rb
0.0000 0.0000 0.0000 Rb
```

Mass density ... 7.9 g/cm3
Total magnetic moment ... 0.00 μB/cell
Formation energy ... -0.22 eV/atom
Calculated total energy ... -4.4 eV per cell


(11)
The following is a DFT calculation (PBE-GGA) of an optimized crystal structure of TbPdRu.

Cell and atoms, written as POSCAR:
```
TbPdRu
1.0
-4.7354 -2.8355 -1.4127
3.5295 -1.9795 4.0105
0.8836 4.7098 3.0988
Tb Pd Ru
2 2 2
Direct
0.2500 0.6288 0.8788 Tb
0.7500 0.3712 0.1212 Tb
0.0000 0.0000 0.5000 Pd
0.5000 0.5000 0.5000 Pd
0.2503 0.9501 0.2005 Ru
0.7497 0.0499 0.7995 Ru
```

Mass density ... 10.7 g/cm3
Total magnetic moment ... 0.00 μB/cell
Formation energy ... -0.25 eV/atom
Calculated total energy ... -39.7 eV per cell


(12)
The following is a DFT calculation (PBE-GGA) of an optimized crystal structure of NiTe3As.

Cell and atoms, written as POSCAR:
```
NiTe3As
1.0
-0.8689 3.5019 -3.4419
-1.9140 -3.4604 -3.0376
-4.5218 0.7918 1.9471
As Ni Te
1 1 3
Direct
0.5000 0.5000 0.5000 As
0.0000 0.0000 0.0000 Ni
0.0000 0.0000 0.5000 Te
0.5000 0.0000 0.0000 Te
0.0000 0.5000 0.0000 Te
```

Excess energy over the best structure of this formula in the dataset ... 0.0 kJ per mole of atoms
Formation energy from raw total energies ... 0.44 eV/atom
Mass density ... 6.9 g/cm3
Total magnetic moment ... 0.00 μB/cell
Calculated total energy ... -17.6 eV per cell


(13)
The following is a DFT calculation (PBE-GGA) of an optimized crystal structure of CaY2Be.

Cell and atoms, written as POSCAR:
```
CaY2Be
1.0
-0.8085 -2.3940 -2.4139
-2.1893 -1.5316 2.2523
-6.7604 5.2852 -2.9772
Y Be Ca
2 1 1
Direct
0.5000 0.5000 0.3106 Y
0.0000 0.0000 0.0216 Y
0.0000 0.0000 0.4799 Be
0.5000 0.5000 0.6879 Ca
```

Mass density ... 3.4 g/cm3
Total magnetic moment ... 0.00 μB/cell
Formation energy ... 0.16 eV/atom
Calculated total energy ... -18.0 eV per cell


(14)
The following is a DFT calculation (PBE-GGA) of an optimized crystal structure of Ba2MgPb2.

Cell and atoms, written as POSCAR:
```
Ba2MgPb2
1.0
-1.3426 5.2821 -6.3055
-6.8205 2.8563 3.8450
3.0316 3.8108 2.5468
Ba Pb Mg
4 4 2
Direct
0.3348 0.1652 0.5000 Ba
0.8348 0.3348 0.5000 Ba
0.6652 0.8348 0.5000 Ba
0.1652 0.6652 0.5000 Ba
0.1373 0.3627 0.0000 Pb
0.8627 0.6373 0.0000 Pb
0.6373 0.1373 0.0000 Pb
0.3627 0.8627 0.0000 Pb
0.5000 0.5000 0.0000 Mg
0.0000 0.0000 0.0000 Mg
```

Excess energy over the best structure of this formula in the dataset ... 8.6 kJ per mole of atoms
Mass density ... 6.2 g/cm3
Total magnetic moment ... 0.59 μB/cell
Formation energy ... -0.41 eV/atom
Calculated total energy ... -29.8 eV per cell


(15)
The following is a DFT calculation (PBE-GGA) of an optimized crystal structure of TlCdPt2.

Cell and atoms, written as POSCAR:
```
TlCdPt2
1.0
-0.9527 -0.7390 -4.8917
-2.5085 -4.3582 -0.3095
-0.8839 4.0364 2.8824
Pt Cd Tl
2 1 1
Direct
0.9998 0.9998 0.0000 Pt
0.5002 0.5002 0.0000 Pt
0.2500 0.7500 0.5000 Cd
0.7500 0.2500 0.5000 Tl
```

Mass density ... 15.9 g/cm3
Total magnetic moment ... 0.00 μB/cell
Formation energy ... -0.10 eV/atom
Calculated total energy ... -15.8 eV per cell


(16)
The following is a DFT calculation (PBE-GGA) of an optimized crystal structure of AlCu2I.

Cell and atoms, written as POSCAR:
```
AlCu2I
1.0
-4.4543 -1.6533 0.4892
-3.4861 2.9232 1.4544
-3.4037 1.3654 -3.0600
Al I Cu
1 1 2
Direct
0.0000 0.0000 0.0000 Al
0.5000 0.5000 0.5000 I
0.7500 0.7500 0.7500 Cu
0.2500 0.2500 0.2500 Cu
```

Excess energy over the best structure of this formula in the dataset ... 28.9 kJ per mole of atoms
Formation energy from raw total energies ... 0.64 eV/atom
Mass density ... 6.1 g/cm3
Total magnetic moment ... 0.00 μB/cell
Calculated total energy ... -10.9 eV per cell


(17)
The following is a DFT calculation (PBE-GGA) of an optimized crystal structure of Al2AsP.

Cell and atoms, written as POSCAR:
```
Al2AsP
1.0
-0.3759 -2.6993 -3.4680
3.1271 -2.6099 1.6924
-2.3696 -1.7762 1.6393
As Al P
1 2 1
Direct
0.5000 0.0000 0.5000 As
0.0000 0.0000 0.0000 Al
0.5000 0.5000 0.0000 Al
0.0000 0.5000 0.5000 P
```

Excess energy over the best structure of this formula in the dataset ... 67.4 kJ per mole of atoms
Mass density ... 4.0 g/cm3
Total magnetic moment ... 0.00 μB/cell
Formation energy ... 0.15 eV/atom
Calculated total energy ... -16.9 eV per cell


(18)
The following is a DFT calculation (PBE-GGA) of an optimized crystal structure of LaCrIn2.

Cell and atoms, written as POSCAR:
```
LaCrIn2
1.0
3.5664 0.0068 0.0000
-0.0064 3.5664 0.0000
0.0000 0.0000 7.7156
Cr In La
1 2 1
Direct
0.5000 0.5000 0.7500 Cr
0.0000 0.0000 0.9510 In
0.0000 0.0000 0.5490 In
0.5000 0.5000 0.2500 La
```

Mass density ... 7.1 g/cm3
Total magnetic moment ... 3.51 μB/cell
Formation energy ... -0.07 eV/atom
Calculated total energy ... -20.3 eV per cell


(19)
The following is a DFT calculation (PBE-GGA) of an optimized crystal structure of Co2RhAu.

Cell and atoms, written as POSCAR:
```
Co2RhAu
1.0
-2.8766 -8.1678 -1.7931
-0.2953 -8.4541 -2.5776
-0.9660 -8.7903 0.0297
Rh Co Au
1 2 1
Direct
0.5083 0.5083 0.5083 Rh
0.9917 0.9917 0.9917 Co
0.2535 0.2535 0.2535 Co
0.7465 0.7465 0.7465 Au
```

Mass density ... 12.5 g/cm3
Total magnetic moment ... 4.32 μB/cell
Formation energy ... 0.18 eV/atom
Calculated total energy ... -24.1 eV per cell


(20)
The following is a DFT calculation (PBE-GGA) of an optimized crystal structure of MgAs2Ru.

Cell and atoms, written as POSCAR:
```
MgAs2Ru
1.0
-3.6568 -2.6055 -0.6947
-1.1968 -3.9941 -1.8050
-0.5035 -4.4202 4.4123
Ru As Mg
1 2 1
Direct
0.2310 0.2310 0.0955 Ru
0.9342 0.9342 0.1386 As
0.7722 0.7722 0.7470 As
0.5626 0.5626 0.5189 Mg
```

Mass density ... 6.1 g/cm3
Total magnetic moment ... 0.00 μB/cell
Formation energy ... -0.23 eV/atom
Calculated total energy ... -21.1 eV per cell


(21)
The following is a DFT calculation (PBE-GGA) of an optimized crystal structure of MoRhCl.

Cell and atoms, written as POSCAR:
```
MoRhCl
1.0
-3.4744 1.7573 1.6551
1.7437 -3.3839 1.8459
1.6646 1.7502 1.6361
Mo Cl Rh
1 1 1
Direct
0.6667 0.3333 0.2012 Mo
0.0000 0.0000 0.1154 Cl
0.3333 0.6667 0.6834 Rh
```

Excess energy over the best structure of this formula in the dataset ... 37.7 kJ per mole of atoms
Formation energy from raw total energies ... 0.41 eV/atom
Mass density ... 8.6 g/cm3
Total magnetic moment ... 0.00 μB/cell
Calculated total energy ... -18.8 eV per cell


(22)
The following is a DFT calculation (PBE-GGA) of an optimized crystal structure of La2ReN6.

Cell and atoms, written as POSCAR:
```
La2ReN6
1.0
5.5050 0.0000 0.0000
2.7525 4.7674 0.0000
2.7525 1.5891 4.4948
N La Re
6 2 1
Direct
0.7481 0.7481 0.2519 N
0.2519 0.7481 0.2519 N
0.2519 0.2519 0.7481 N
0.7481 0.2519 0.2519 N
0.2519 0.7481 0.7481 N
0.7481 0.2519 0.7481 N
0.7500 0.7500 0.7500 La
0.2500 0.2500 0.2500 La
0.0000 0.0000 0.0000 Re
```

Formation energy from raw total energies ... 0.23 eV/atom
Mass density ... 7.7 g/cm3
Total magnetic moment ... 0.00 μB/cell
Calculated total energy ... -70.2 eV per cell


(23)
The following is a DFT calculation (PBE-GGA) of an optimized crystal structure of Ce2SnTe.

Cell and atoms, written as POSCAR:
```
Ce2SnTe
1.0
3.7369 0.0000 0.0000
0.0000 3.7369 0.0000
0.0000 0.0000 8.2132
Ce Sn Te
2 1 1
Direct
0.0000 0.0000 0.2429 Ce
0.0000 0.0000 0.7571 Ce
0.5000 0.5000 0.5000 Sn
0.5000 0.5000 0.0000 Te
```

Excess energy over the best structure of this formula in the dataset ... 9.6 kJ per mole of atoms
Formation energy from raw total energies ... -0.88 eV/atom
Mass density ... 7.6 g/cm3
Total magnetic moment ... 2.77 μB/cell
Calculated total energy ... -22.5 eV per cell